Below is crystalline ZnPbI at its relaxed geometry, with properties calculated at the GGA-PBE level.

The uncorrected formation energy is -0.018 eV/atom. As for the total energy: -2.195 eV/atom.

The space group is Amm2 (No. 38) and the conventional cell measures 14.062, 3.933 and 6.801 Å, with angles of 90.00, 90.00 and 90.00 degrees. The inequivalent atoms are Zn at (0.000, 0.000, 0.000), Zn at (0.500, 0.000, 0.321), Pb at (0.368, 0.000, 0.988) and I at (0.130, 0.000, 0.333).

Below is crystalline Zn2PbI at its relaxed geometry, with properties calculated at the GGA-PBE level.

The uncorrected formation energy is 0.339 eV/atom. As for the total energy: -1.612 eV/atom. The value obtained for the energy above the most stable polymorph in this dataset is 0.2219 eV/atom.

The space group is Fm-3m (No. 225) and the conventional cell measures 7.564, 7.564 and 7.564 Å, with angles of 90.00, 90.00 and 90.00 degrees. The inequivalent atoms are Zn at (0.250, 0.250, 0.250), Pb at (0.000, 0.000, 0.000) and I at (0.000, 0.000, 0.500).

Below is crystalline Zn2PbI6 at its relaxed geometry, with properties calculated at the GGA-PBE level.

The uncorrected formation energy is -0.577 eV/atom. As for the total energy: -2.306 eV/atom.

The space group is C2/c (No. 15) and the conventional cell measures 14.814, 13.693 and 7.661 Å, with angles of 90.00, 101.63 and 90.00 degrees. The inequivalent atoms are Zn at (0.194, 0.076, 0.305), Pb at (0.000, 0.382, 0.250), I at (0.122, 0.415, 0.652), I at (0.130, 0.231, 0.114) and I at (0.136, 0.080, 0.609).

Below is crystalline ZnPbI4 at its relaxed geometry, with properties calculated at the GGA-PBE level.

The uncorrected formation energy is -0.533 eV/atom. As for the total energy: -2.397 eV/atom. The value obtained for the energy above the most stable polymorph in this dataset is 0.0000 eV/atom.

The space group is I4_1/amd (No. 141, origin choice 2) and the conventional cell measures 10.538, 10.538 and 9.301 Å, with angles of 90.00, 90.00 and 90.00 degrees. The inequivalent atoms are Zn at (0.000, 0.250, 0.375), Pb at (0.000, 0.250, 0.875) and I at (0.000, 0.065, 0.185).

Below is crystalline ZnPbI2 at its relaxed geometry, with properties calculated at the GGA-PBE level.

The uncorrected formation energy is -0.104 eV/atom. As for the total energy: -2.125 eV/atom. The value obtained for the energy above the most stable polymorph in this dataset is 0.0072 eV/atom.

The space group is Fm-3m (No. 225) and the conventional cell measures 8.112, 8.112 and 8.112 Å, with angles of 90.00, 90.00 and 90.00 degrees. The inequivalent atoms are Zn at (0.000, 0.000, 0.000), Pb at (0.000, 0.000, 0.500) and I at (0.250, 0.250, 0.250).

Below is crystalline ZnPbI4 at its relaxed geometry, with properties calculated at the GGA-PBE level.

The uncorrected formation energy is -0.523 eV/atom. As for the total energy: -2.387 eV/atom. The value obtained for the energy above the most stable polymorph in this dataset is 0.0103 eV/atom.

The space group is P2_1/c (No. 14) and the conventional cell measures 7.828, 4.339 and 16.727 Å, with angles of 90.00, 116.74 and 90.00 degrees. The inequivalent atoms are Zn at (0.000, 0.000, 0.000), Pb at (0.500, 0.000, 0.500), I at (0.178, 0.001, 0.882) and I at (0.251, 0.040, 0.611).

Q: Among the records above, which one has the lowest uncorrected formation energy?
A: Zn2PbI6

Repeat the second record exactly.
Below is crystalline Zn2PbI at its relaxed geometry, with properties calculated at the GGA-PBE level.

The uncorrected formation energy is 0.339 eV/atom. As for the total energy: -1.612 eV/atom. The value obtained for the energy above the most stable polymorph in this dataset is 0.2219 eV/atom.

The space group is Fm-3m (No. 225) and the conventional cell measures 7.564, 7.564 and 7.564 Å, with angles of 90.00, 90.00 and 90.00 degrees. The inequivalent atoms are Zn at (0.250, 0.250, 0.250), Pb at (0.000, 0.000, 0.000) and I at (0.000, 0.000, 0.500).

Q: Which of these has the highest uncorrected formation energy?
A: Zn2PbI

Please write out number 2 again, unchanged.
Below is crystalline Zn2PbI at its relaxed geometry, with properties calculated at the GGA-PBE level.

The uncorrected formation energy is 0.339 eV/atom. As for the total energy: -1.612 eV/atom. The value obtained for the energy above the most stable polymorph in this dataset is 0.2219 eV/atom.

The space group is Fm-3m (No. 225) and the conventional cell measures 7.564, 7.564 and 7.564 Å, with angles of 90.00, 90.00 and 90.00 degrees. The inequivalent atoms are Zn at (0.250, 0.250, 0.250), Pb at (0.000, 0.000, 0.000) and I at (0.000, 0.000, 0.500).